Entry 1:
Below is a PBEsol-optimized structure of BaCr2Cu, with properties calculated at the meta-GGA SCAN level.

## Properties
The formation enthalpy at 0 K is 800 meV/atom.

```
data_BaCr2Cu
_chemical_formula_sum 'Ba2 Cr4 Cu2'
_symmetry_space_group_name_H-M 'I 4/m m m'
_symmetry_Int_Tables_number 139
_symmetry_space_group_name_Hall '-I 4 2'
_cell_length_a 4.490
_cell_length_b 4.490
_cell_length_c 8.592
_cell_angle_alpha 90.00
_cell_angle_beta 90.00
_cell_angle_gamma 90.00
loop_
_atom_site_label
_atom_site_type_symbol
_atom_site_fract_x
_atom_site_fract_y
_atom_site_fract_z
_atom_site_occupancy
Ba1 Ba 0.000 0.000 0.000 1
Cr1 Cr 0.000 0.500 0.250 1
Cu1 Cu 0.000 0.000 0.500 1
```



Entry 2:
Below is a PBEsol-optimized structure of LiHg2Au, with properties calculated at the meta-GGA SCAN level.

## Properties
The formation enthalpy at 0 K is -246 meV/atom.

```
data_LiHg2Au
_chemical_formula_sum 'Li2 Hg4 Au2'
_symmetry_space_group_name_H-M 'C 1 2/m 1'
_symmetry_Int_Tables_number 12
_cell_length_a 9.206
_cell_length_b 3.439
_cell_length_c 4.958
_cell_angle_alpha 90.00
_cell_angle_beta 104.61
_cell_angle_gamma 90.00
loop_
_symmetry_equiv_pos_as_xyz
'x,y,z'
'-x,-y,-z'
'-x,y,-z'
'x,-y,z'
'x+1/2,y+1/2,z'
'-x+1/2,-y+1/2,-z'
'-x+1/2,y+1/2,-z'
'x+1/2,-y+1/2,z'
loop_
_atom_site_label
_atom_site_type_symbol
_atom_site_fract_x
_atom_site_fract_y
_atom_site_fract_z
_atom_site_occupancy
Li1 Li 0.000 0.000 0.000 1
Hg1 Hg 0.247 0.500 0.245 1
Au1 Au 0.000 0.500 0.500 1
```



Entry 3:
Below is a PBEsol-optimized structure of ReOsRh, with properties calculated at the meta-GGA SCAN level.

## Properties
The formation enthalpy at 0 K is 233 meV/atom.

```
data_ReOsRh
_chemical_formula_sum 'Re1 Os1 Rh1'
_symmetry_space_group_name_H-M 'P -6 m 2'
_symmetry_Int_Tables_number 187
_symmetry_space_group_name_Hall 'P -6 2'
_cell_length_a 4.2935
_cell_length_b 4.2935
_cell_length_c 2.7189
_cell_angle_alpha 90.00
_cell_angle_beta 90.00
_cell_angle_gamma 120.00
loop_
_atom_site_label
_atom_site_type_symbol
_atom_site_fract_x
_atom_site_fract_y
_atom_site_fract_z
_atom_site_occupancy
Re1 Re 0.0000 0.0000 0.0000 1
Os1 Os 0.6667 0.3333 0.0000 1
Rh1 Rh 0.3333 0.6667 0.5000 1
```



Entry 4:
Below is a PBEsol-optimized structure of Li4CrFe3O8, with properties calculated at the meta-GGA SCAN level.

## Properties
Its uncorrected formation energy is -2.0529 eV per atom.

```
data_Li4CrFe3O8
_chemical_formula_sum 'Li8 Cr2 Fe6 O16'
_symmetry_space_group_name_H-M 'C 1 2/m 1'
_symmetry_Int_Tables_number 12
_cell_length_a 9.737
_cell_length_b 5.625
_cell_length_c 4.979
_cell_angle_alpha 90.00
_cell_angle_beta 109.02
_cell_angle_gamma 90.00
loop_
_symmetry_equiv_pos_as_xyz
'x,y,z'
'-x,-y,-z'
'-x,y,-z'
'x,-y,z'
'x+1/2,y+1/2,z'
'-x+1/2,-y+1/2,-z'
'-x+1/2,y+1/2,-z'
'x+1/2,-y+1/2,z'
loop_
_atom_site_label
_atom_site_type_symbol
_atom_site_fract_x
_atom_site_fract_y
_atom_site_fract_z
_atom_site_occupancy
Li1 Li 0.000 0.248 0.000 1
Li2 Li 0.248 0.000 0.994 1
Cr1 Cr 0.000 0.500 0.500 1
Fe1 Fe 0.000 0.000 0.500 1
Fe2 Fe 0.250 0.250 0.500 1
O1 O 0.122 0.246 0.726 1
O2 O 0.129 0.000 0.276 1
O3 O 0.131 0.500 0.274 1
```



Entry 5:
Below is a PBEsol-optimized structure of MgSc2Nb, with properties calculated at the meta-GGA SCAN level.

## Properties
The formation enthalpy at 0 K is 383 meV/atom.

```
data_MgSc2Nb
_chemical_formula_sum 'Mg3 Sc6 Nb3'
_symmetry_space_group_name_H-M 'R -3 m'
_symmetry_Int_Tables_number 166
_symmetry_space_group_name_Hall '-R 3 2"'
_cell_length_a 3.0047
_cell_length_b 3.0047
_cell_length_c 32.8574
_cell_angle_alpha 90.00
_cell_angle_beta 90.00
_cell_angle_gamma 120.00
loop_
_atom_site_label
_atom_site_type_symbol
_atom_site_fract_x
_atom_site_fract_y
_atom_site_fract_z
_atom_site_occupancy
Mg1 Mg 0.0000 0.0000 0.0000 1
Sc1 Sc 0.0000 0.0000 0.4155 1
Nb1 Nb 0.0000 0.0000 0.5000 1
```



Entry 6:
Below is a PBEsol-optimized structure of EuB2S4, with properties calculated at the meta-GGA SCAN level.

## Properties
Its uncorrected formation energy is -1.0828 eV per atom.

```
data_EuB2S4
_chemical_formula_sum 'Eu4 B8 S16'
_symmetry_space_group_name_H-M 'P 1 21/c 1'
_symmetry_Int_Tables_number 14
_cell_length_a 6.322
_cell_length_b 13.895
_cell_length_c 6.037
_cell_angle_alpha 90.00
_cell_angle_beta 109.86
_cell_angle_gamma 90.00
loop_
_symmetry_equiv_pos_as_xyz
'x,y,z'
'-x,-y,-z'
'-x,y+1/2,-z+1/2'
'x,-y+1/2,z+1/2'
loop_
_atom_site_label
_atom_site_type_symbol
_atom_site_fract_x
_atom_site_fract_y
_atom_site_fract_z
_atom_site_occupancy
Eu1 Eu 0.189 0.104 0.294 1
B1 B 0.269 0.726 0.831 1
B2 B 0.469 0.583 0.579 1
S1 S 0.078 0.740 0.017 1
S2 S 0.259 0.005 0.859 1
S3 S 0.373 0.596 0.845 1
S4 S 0.465 0.198 0.048 1
```



Entry 7:
Below is a PBEsol-optimized structure of BaInAsC2, with properties calculated at the meta-GGA SCAN level.

## Properties
The formation enthalpy at 0 K is 1675 meV/atom.

```
data_BaInAsC2
_chemical_formula_sum 'Ba1 In1 As1 C2'
_symmetry_space_group_name_H-M 'P 4/m m m'
_symmetry_Int_Tables_number 123
_symmetry_space_group_name_Hall '-P 4 2'
_cell_length_a 4.420
_cell_length_b 4.420
_cell_length_c 5.116
_cell_angle_alpha 90.00
_cell_angle_beta 90.00
_cell_angle_gamma 90.00
loop_
_atom_site_label
_atom_site_type_symbol
_atom_site_fract_x
_atom_site_fract_y
_atom_site_fract_z
_atom_site_occupancy
Ba1 Ba 0.000 0.000 0.000 1
In1 In 0.500 0.500 0.000 1
As1 As 0.500 0.500 0.500 1
C1 C 0.000 0.500 0.500 1
```



Entry 8:
Below is a PBEsol-optimized structure of Tc2P, with properties calculated at the meta-GGA SCAN level.

## Properties
The formation enthalpy at 0 K is -425 meV/atom.

```
data_Tc2P
_chemical_formula_sum 'Tc8 P4'
_symmetry_space_group_name_H-M 'C 1 m 1'
_symmetry_Int_Tables_number 8
_cell_length_a 9.924
_cell_length_b 2.904
_cell_length_c 5.597
_cell_angle_alpha 90.00
_cell_angle_beta 96.84
_cell_angle_gamma 90.00
loop_
_symmetry_equiv_pos_as_xyz
'x,y,z'
'x,-y,z'
'x+1/2,y+1/2,z'
'x+1/2,-y+1/2,z'
loop_
_atom_site_label
_atom_site_type_symbol
_atom_site_fract_x
_atom_site_fract_y
_atom_site_fract_z
_atom_site_occupancy
Tc1 Tc 0.000 0.000 0.000 1
Tc2 Tc 0.081 0.000 0.528 1
Tc3 Tc 0.228 0.500 0.893 1
Tc4 Tc 0.361 0.000 0.295 1
P1 P 0.160 0.500 0.263 1
P2 P 0.383 0.000 0.711 1
```



Entry 9:
Below is a PBEsol-optimized structure of Li3Ti2NbO6, with properties calculated at the meta-GGA SCAN level.

## Properties
Its uncorrected formation energy is -2.6870 eV per atom.

```
data_Li3Ti2NbO6
_chemical_formula_sum 'Li6 Ti4 Nb2 O12'
_symmetry_space_group_name_H-M 'C 1 2/m 1'
_symmetry_Int_Tables_number 12
_cell_length_a 13.107
_cell_length_b 2.900
_cell_length_c 6.033
_cell_angle_alpha 90.00
_cell_angle_beta 107.28
_cell_angle_gamma 90.00
loop_
_symmetry_equiv_pos_as_xyz
'x,y,z'
'-x,-y,-z'
'-x,y,-z'
'x,-y,z'
'x+1/2,y+1/2,z'
'-x+1/2,-y+1/2,-z'
'-x+1/2,y+1/2,-z'
'x+1/2,-y+1/2,z'
loop_
_atom_site_label
_atom_site_type_symbol
_atom_site_fract_x
_atom_site_fract_y
_atom_site_fract_z
_atom_site_occupancy
Li1 Li 0.000 0.000 0.000 1
Li2 Li 0.169 0.500 0.322 1
Ti1 Ti 0.158 0.500 0.818 1
Nb1 Nb 0.000 0.000 0.500 1
O1 O 0.002 0.500 0.236 1
O2 O 0.173 0.000 0.594 1
O3 O 0.174 0.000 0.061 1
```



Entry 10:
Below is a PBEsol-optimized structure of Na2MnP2O7, with properties calculated at the meta-GGA SCAN level.

## Properties
Its uncorrected formation energy is -2.4552 eV per atom.

```
data_Na2MnP2O7
_chemical_formula_sum 'Na4 Mn2 P4 O14'
_symmetry_space_group_name_H-M 'P -1'
_symmetry_Int_Tables_number 2
_cell_length_a 5.316
_cell_length_b 6.546
_cell_length_c 9.414
_cell_angle_alpha 109.68
_cell_angle_beta 95.54
_cell_angle_gamma 106.14
loop_
_symmetry_equiv_pos_as_xyz
'x,y,z'
'-x,-y,-z'
loop_
_atom_site_label
_atom_site_type_symbol
_atom_site_fract_x
_atom_site_fract_y
_atom_site_fract_z
_atom_site_occupancy
Na1 Na 0.130 0.282 0.034 1
Na2 Na 0.350 0.642 0.729 1
Mn1 Mn 0.087 0.099 0.362 1
P1 P 0.255 0.663 0.391 1
P2 P 0.429 0.828 0.134 1
O1 O 0.064 0.805 0.421 1
O2 O 0.098 0.406 0.335 1
O3 O 0.263 0.991 0.166 1
O4 O 0.270 0.044 0.820 1
O5 O 0.330 0.646 0.971 1
O6 O 0.368 0.674 0.240 1
O7 O 0.492 0.745 0.523 1
```



Entry 11:
Below is a PBEsol-optimized structure of Li2CaZn, with properties calculated at the meta-GGA SCAN level.

## Properties
The formation enthalpy at 0 K is -60 meV/atom.

```
data_Li2CaZn
_chemical_formula_sum 'Li4 Ca2 Zn2'
_symmetry_space_group_name_H-M 'I -4 m 2'
_symmetry_Int_Tables_number 119
_symmetry_space_group_name_Hall 'I -4 -2'
_cell_length_a 4.531
_cell_length_b 4.531
_cell_length_c 8.353
_cell_angle_alpha 90.00
_cell_angle_beta 90.00
_cell_angle_gamma 90.00
loop_
_atom_site_label
_atom_site_type_symbol
_atom_site_fract_x
_atom_site_fract_y
_atom_site_fract_z
_atom_site_occupancy
Li1 Li 0.000 0.000 0.000 1
Li2 Li 0.000 0.500 0.250 1
Ca1 Ca 0.000 0.500 0.750 1
Zn1 Zn 0.000 0.000 0.500 1
```



Entry 12:
Below is a PBEsol-optimized structure of Co2PPt, with properties calculated at the meta-GGA SCAN level.

## Properties
The formation enthalpy at 0 K is -85 meV/atom.

```
data_Co2PPt
_chemical_formula_sum 'Co4 P2 Pt2'
_symmetry_space_group_name_H-M 'I m m 2'
_symmetry_Int_Tables_number 44
_cell_length_a 2.977
_cell_length_b 3.928
_cell_length_c 8.119
_cell_angle_alpha 90.00
_cell_angle_beta 90.00
_cell_angle_gamma 90.00
loop_
_symmetry_equiv_pos_as_xyz
'x,y,z'
'-x,-y,z'
'-x,y,z'
'x,-y,z'
'x+1/2,y+1/2,z+1/2'
'-x+1/2,-y+1/2,z+1/2'
'-x+1/2,y+1/2,z+1/2'
'x+1/2,-y+1/2,z+1/2'
loop_
_atom_site_label
_atom_site_type_symbol
_atom_site_fract_x
_atom_site_fract_y
_atom_site_fract_z
_atom_site_occupancy
Co1 Co 0.000 0.000 0.000 1
Co2 Co 0.000 0.500 0.202 1
P1 P 0.000 0.000 0.508 1
Pt1 Pt 0.000 0.500 0.780 1
```